Record 1
A crystal of RbZnCo2Bi relaxed with PBEsol, computed with SCAN.

Cell lengths 4.686, 4.686, 5.325 Å; angles 90.00, 90.00, 90.00 degrees
Atoms (fractional coordinates):
Rb  0.000  0.000  0.000
Zn  0.000  0.000  0.500
Co  0.000  0.500  0.500
Co  0.500  0.000  0.500
Bi  0.500  0.500  0.000

ΔH_f (0 K) ... 0.993 eV per atom
Crystal system ... tetragonal
Total magnetization ... 3.93 μB per formula unit


Record 2
A crystal of YTiAl2 relaxed with PBEsol, computed with SCAN.

Cell lengths 4.199, 4.199, 19.982 Å; angles 90.00, 90.00, 90.00 degrees
Atoms (fractional coordinates):
Y  0.000  0.000  0.000
Y  0.000  0.500  0.250
Y  0.500  0.000  0.750
Y  0.500  0.500  0.500
Ti  0.000  0.000  0.500
Ti  0.000  0.500  0.750
Ti  0.500  0.000  0.250
Ti  0.500  0.500  0.000
Al  0.202  0.250  0.625
Al  0.250  0.702  0.875
Al  0.250  0.798  0.375
Al  0.298  0.250  0.125
Al  0.702  0.750  0.125
Al  0.750  0.202  0.375
Al  0.750  0.298  0.875
Al  0.798  0.750  0.625

ΔH_f (0 K) ... 0.307 eV per atom
Crystal system ... tetragonal
Total magnetization ... 2.73 μB per formula unit


Record 3
A crystal of NaSm3GeS7 relaxed with PBEsol, computed with SCAN.

Cell lengths 10.025, 10.025, 5.733 Å; angles 90.00, 90.00, 120.00 degrees
Atoms (fractional coordinates):
Na  0.000  0.000  0.000
Na  0.000  0.000  0.500
Sm  0.129  0.768  0.230
Sm  0.232  0.361  0.230
Sm  0.361  0.129  0.730
Sm  0.639  0.871  0.230
Sm  0.768  0.639  0.730
Sm  0.871  0.232  0.730
Ge  0.333  0.667  0.648
Ge  0.667  0.333  0.148
S  0.095  0.832  0.752
S  0.102  0.517  0.488
S  0.168  0.263  0.752
S  0.263  0.095  0.252
S  0.333  0.667  0.030
S  0.415  0.898  0.488
S  0.483  0.585  0.488
S  0.517  0.415  0.988
S  0.585  0.102  0.988
S  0.667  0.333  0.530
S  0.737  0.905  0.752
S  0.832  0.737  0.252
S  0.898  0.483  0.988
S  0.905  0.168  0.252

Crystal system ... hexagonal
Total magnetization ... 0.00 μB per formula unit
ΔE_f (raw) ... -21.20 eV per formula unit


Record 4
A crystal of Li3Ag relaxed with PBEsol, computed with SCAN.

Cell lengths 5.025, 9.194, 5.703 Å; angles 90.00, 90.00, 90.00 degrees
Atoms (fractional coordinates):
Li  0.068  0.250  0.112
Li  0.233  0.509  0.370
Li  0.233  0.991  0.370
Li  0.267  0.009  0.870
Li  0.267  0.491  0.870
Li  0.432  0.750  0.612
Li  0.568  0.250  0.388
Li  0.733  0.509  0.130
Li  0.733  0.991  0.130
Li  0.767  0.009  0.630
Li  0.767  0.491  0.630
Li  0.932  0.750  0.888
Ag  0.085  0.250  0.618
Ag  0.415  0.750  0.118
Ag  0.585  0.250  0.882
Ag  0.915  0.750  0.382

ΔH_f (0 K) ... -0.133 eV per atom
Crystal system ... orthorhombic
Total magnetization ... 0.00 μB per formula unit


Record 5
A crystal of Zr2FeIr relaxed with PBEsol, computed with SCAN.

Cell lengths 4.518, 4.518, 3.243 Å; angles 90.00, 90.00, 90.00 degrees
Atoms (fractional coordinates):
Zr  0.000  0.500  0.000
Zr  0.500  0.000  0.000
Fe  0.000  0.000  0.500
Ir  0.500  0.500  0.500

ΔH_f (0 K) ... -0.675 eV per atom
Crystal system ... tetragonal
Total magnetization ... 0.88 μB per formula unit


Record 6
A crystal of ScGeBi3 relaxed with PBEsol, computed with SCAN.

Cell lengths 5.481, 5.481, 5.481 Å; angles 90.00, 90.00, 90.00 degrees
Atoms (fractional coordinates):
Sc  0.000  0.000  0.000
Ge  0.500  0.500  0.500
Bi  0.000  0.000  0.500
Bi  0.000  0.500  0.000
Bi  0.500  0.000  0.000

ΔH_f (0 K) ... 0.521 eV per atom
Crystal system ... cubic
Total magnetization ... 0.00 μB per formula unit


- What is the total magnetization in the sixth record?
  0.00 μB per formula unit